Material: TbPmDyTl
Method: DFT, GGA-PBE
State: relaxed

```
TbPmDyTl
1.0
4.860 0.000 0.000
0.000 4.907 0.000
0.000 0.000 4.921
Tb Pm Dy Tl
1 1 1 1
Cartesian
0.000 0.000 0.000 Tb
2.430 2.453 0.000 Pm
0.000 2.453 2.461 Dy
2.430 0.000 2.461 Tl
```

Computed properties:
ΔH_f (0 K)	-0.1877	eV/atom
DOS at the Fermi energy	1.40	states/eV/atom

---

Material: Tm4Pb3O2
Method: DFT, GGA-PBE
State: relaxed

```
Tm4Pb3O2
1.0
7.009 -1.838 0.000
7.009 1.838 0.000
-3.800 0.000 8.227
Tm Pb O
4 3 2
Cartesian
0.239 0.000 3.511 Tm
0.849 0.000 7.054 Tm
9.368 0.000 1.174 Tm
9.979 0.000 4.716 Tm
0.000 0.000 0.000 Pb
4.760 0.000 2.273 Pb
5.458 0.000 5.954 Pb
1.821 0.000 5.123 O
8.397 0.000 3.104 O
```

Computed properties:
DOS at the Fermi energy	0.51	states/eV/atom
raw formation energy	-1.5864	eV/atom

---

> Which value of DOS at the Fermi energy does entry 1 give?

1.40 states/eV/atom

---

> DOS at the Fermi energy of number 1 (TbPmDyTl)?

1.40 states/eV/atom